The following is a DFT calculation (PBE) of a relaxed structure of LaNiHg2.

Values from the calculation:
**SG**: No. 166
**Formation energy**: -0.174 eV/atom

a = 5.8502 Å, b = 5.8502 Å, c = 5.8502 Å
α = 46.31°, β = 46.31°, γ = 46.31°
Closest atoms and distances in Å follow each position.
Positions (direct):
Hg 0.0325 0.0325 0.0325  3 Ni 2.77, 3 Hg 3.10
Hg 0.4675 0.4675 0.4675  3 Ni 2.77, 3 Hg 3.10
La 0.2500 0.2500 0.2500  8 Hg 3.22-3.40
Ni 0.7500 0.7500 0.7500  6 Hg 2.77